The following is a PBE calculation of a relaxed YAg2Os crystal, from Alexandria.

Results
The space-group type is P4/mmm. For the offset from the most stable computed form, the calculation gives 419 meV per atom.

Lattice parameters (Å, degrees): 3.068 3.068 8.170 90.00 90.00 90.00
Element x y z (fractional)
Y 0.000 0.000 0.000
Ag 0.500 0.500 0.275
Ag 0.500 0.500 0.725
Os 0.000 0.000 0.500



The following is a PBE calculation of a relaxed CaFe2Sb crystal, from Alexandria.

Results
The uncorrected formation energy comes out at 0.182 eV/atom. The space-group type is Imm2.

Lattice parameters (Å, degrees): 5.416 5.416 5.416 142.81 128.77 64.99
Element x y z (fractional)
Ca 0.000 0.000 0.000
Fe 0.281 0.781 0.500
Fe 0.467 0.467 0.000
Sb 0.716 0.216 0.500



The following is a PBE calculation of a relaxed VIrCl3 crystal, from Alexandria.

Results
The uncorrected formation energy comes out at 0.461 eV/atom. The space-group type is Pm-3m. For the offset from the most stable computed form, the calculation gives 8 meV per atom.

Lattice parameters (Å, degrees): 4.801 4.801 4.801 90.00 90.00 90.00
Element x y z (fractional)
V 0.000 0.000 0.000
Ir 0.500 0.500 0.500
Cl 0.000 0.000 0.500
Cl 0.000 0.500 0.000
Cl 0.500 0.000 0.000



The following is a PBE calculation of a relaxed LiAlP2 crystal, from Alexandria.

Results
The space-group type is R-3m. Its total energy is -17.38 eV/cell.

Lattice parameters (Å, degrees): 7.274 7.274 7.274 25.87 25.87 25.87
Element x y z (fractional)
Li 0.000 0.000 0.000
Al 0.500 0.500 0.500
P 0.244 0.244 0.244
P 0.756 0.756 0.756



| no. | spin magnetization (Bohr magnetons per cell) |
| --- | --- |
| 1 | 1.73 |
| 2 | 4.23 |
| 3 | 5.21 |
| 4 | 0.00 |